Nd5HoCu6 | PBE | optimized geometry

Properties
* SG: C2/m, No. 12
* total DFT energy (no corrections): -4.58 eV/atom
* total moment: 0.00 μB/atom

Cell lengths 5.065, 7.093, 8.762 Å; angles 66.12, 73.07, 90.01 degrees
Positions (direct):
Cu  0.164  0.403  0.677
Cu  0.836  0.079  0.324
Nd  0.666  0.666  0.668
Nd  0.669  0.168  0.665
Nd  0.334  0.334  0.332
Nd  0.000  0.500  0.000
Ho  0.000  0.000  0.000
Cu  0.500  0.232  0.000
Cu  0.500  0.768  0.000
Cu  0.164  0.921  0.676
Nd  0.331  0.832  0.335
Cu  0.836  0.597  0.323